[1]
Compound: NiSnP
Source: Alexandria
Functional: PBE
Structure: optimized geometry

Cell: 6.1575 6.0854 6.1716 Å, 90.00 117.01 90.00°
With the nearest neighbours (Å) after each atom.
Sites, in units of the cell vectors:
1 Ni 0.1944 0.0241 0.2043  3 P 2.25-2.26
2 Ni 0.1944 0.4759 0.7043  3 P 2.25-2.26
3 Ni 0.8056 0.5241 0.2957  3 P 2.25-2.26
4 Ni 0.8056 0.9759 0.7957  3 P 2.25-2.26
5 Sn 0.3420 0.6307 0.1476  1 P 2.61, 3 Ni 2.63-2.65
6 Sn 0.3420 0.8693 0.6476  1 P 2.61, 3 Ni 2.63-2.65
7 Sn 0.6580 0.1307 0.3524  1 P 2.61, 3 Ni 2.63-2.65
8 Sn 0.6580 0.3693 0.8524  1 P 2.61, 3 Ni 2.63-2.65
9 P 0.1512 0.1419 0.8409  3 Ni 2.25-2.26
10 P 0.1512 0.3581 0.3409  3 Ni 2.25-2.26
11 P 0.8488 0.6419 0.6591  3 Ni 2.25-2.26
12 P 0.8488 0.8581 0.1591  3 Ni 2.25-2.26

The value obtained for the uncorrected energy is -64.28 eV/cell. For the volume, the calculation gives 17.17 A^3/atom. As for the space group: P2_1/c (14).

[2]
Compound: PS2NCl
Source: Alexandria
Functional: PBE
Structure: optimized geometry

Cell: 4.0969 4.0969 4.5543 Å, 90.00 90.00 90.00°
With the nearest neighbours (Å) after each atom.
Sites, in units of the cell vectors:
1 P 0.0000 0.0000 0.0000  2 N 2.28
2 S 0.0000 0.5000 0.5000  2 N 2.05
3 S 0.5000 0.0000 0.5000  2 N 2.05
4 N 0.0000 0.0000 0.5000  4 S 2.05, 2 P 2.28
5 Cl 0.5000 0.5000 0.0000  4 P 2.90, 8 S 3.06

The value obtained for the uncorrected energy is -17.05 eV/cell. For the volume, the calculation gives 15.29 A^3/atom. As for the space group: P4/mmm (123). The uncorrected formation energy is 6.785 eV per formula unit. The energy above the most stable polymorph in this dataset is 454 meV per atom.